1.
Crystalline Na3NpCd2S6 at its relaxed geometry, computed with PBE.

Results
Its total magnetization is 0.17 μB/atom. The density of states at the Fermi level is 14.7 states/eV per cell. The value obtained for the electronic total energy is -4.608 eV/atom. As for the raw formation energy: -0.984 eV per atom.

CIF file:
```
data_Na3NpCd2S6
_chemical_formula_sum 'Na6 Np2 Cd4 S12'
_symmetry_space_group_name_H-M 'C 1 2/m 1'
_symmetry_Int_Tables_number 12
_cell_length_a 6.732
_cell_length_b 11.666
_cell_length_c 7.083
_cell_angle_alpha 90.00
_cell_angle_beta 108.48
_cell_angle_gamma 90.00
loop_
_symmetry_equiv_pos_as_xyz
'x,y,z'
'-x,-y,-z'
'-x,y,-z'
'x,-y,z'
'x+1/2,y+1/2,z'
'-x+1/2,-y+1/2,-z'
'-x+1/2,y+1/2,-z'
'x+1/2,-y+1/2,z'
loop_
_atom_site_label
_atom_site_fract_x
_atom_site_fract_y
_atom_site_fract_z
Na1 0.000 0.000 0.000
Na2 0.000 0.329 0.000
Np1 0.000 0.500 0.500
Cd1 0.000 0.166 0.500
S1 0.236 0.339 0.728
S2 0.245 0.500 0.274
```

---

2.
Crystalline CePmBeAl at its relaxed geometry, computed with PBE.

Results
Its total magnetization is 0.07 μB/atom. The density of states at the Fermi level is 22.1 states/eV per cell. The value obtained for the electronic total energy is -4.555 eV/atom. The formation energy comes out at -0.0166 eV/atom.

CIF file:
```
data_CePmBeAl
_chemical_formula_sum 'Ce4 Pm4 Be4 Al4'
_symmetry_space_group_name_H-M 'F -4 3 m'
_symmetry_Int_Tables_number 216
_symmetry_space_group_name_Hall 'F -4 2 3'
_cell_length_a 7.176
_cell_length_b 7.176
_cell_length_c 7.176
_cell_angle_alpha 90.00
_cell_angle_beta 90.00
_cell_angle_gamma 90.00
loop_
_atom_site_label
_atom_site_fract_x
_atom_site_fract_y
_atom_site_fract_z
Ce1 0.000 0.000 0.000
Pm1 0.000 0.000 0.500
Be1 0.250 0.250 0.250
Al1 0.250 0.250 0.750
```

---

3.
Crystalline Sr2MnZn at its relaxed geometry, computed with PBE.

Results
Its total magnetization is 0.91 μB/atom. The density of states at the Fermi level is 7.0 states/eV per cell. The value obtained for the electronic total energy is -3.020 eV/atom. The formation energy comes out at 0.4320 eV/atom.

CIF file:
```
data_Sr2MnZn
_chemical_formula_sum 'Sr4 Mn2 Zn2'
_symmetry_space_group_name_H-M 'C 1 2/m 1'
_symmetry_Int_Tables_number 12
_cell_length_a 7.138
_cell_length_b 4.152
_cell_length_c 9.467
_cell_angle_alpha 90.00
_cell_angle_beta 104.85
_cell_angle_gamma 90.00
loop_
_symmetry_equiv_pos_as_xyz
'x,y,z'
'-x,-y,-z'
'-x,y,-z'
'x,-y,z'
'x+1/2,y+1/2,z'
'-x+1/2,-y+1/2,-z'
'-x+1/2,y+1/2,-z'
'x+1/2,-y+1/2,z'
loop_
_atom_site_label
_atom_site_fract_x
_atom_site_fract_y
_atom_site_fract_z
Sr1 0.250 0.000 0.250
Mn1 0.000 0.000 0.500
Zn1 0.000 0.500 0.000
```

---

4.
Crystalline RbBeAu2S at its relaxed geometry, computed with PBE.

Results
Its total magnetization is 0.42 μB/atom. The density of states at the Fermi level is 8.5 states/eV per cell. The value obtained for the electronic total energy is -1.355 eV/atom. As for the raw formation energy: 1.720 eV per atom.

CIF file:
```
data_RbBeAu2S
_chemical_formula_sum 'Rb1 Be1 Au2 S1'
_symmetry_space_group_name_H-M 'P 4/m m m'
_symmetry_Int_Tables_number 123
_symmetry_space_group_name_Hall '-P 4 2'
_cell_length_a 6.106
_cell_length_b 6.106
_cell_length_c 5.961
_cell_angle_alpha 90.00
_cell_angle_beta 90.00
_cell_angle_gamma 90.00
loop_
_atom_site_label
_atom_site_fract_x
_atom_site_fract_y
_atom_site_fract_z
Rb1 0.000 0.000 0.000
Be1 0.500 0.500 0.500
Au1 0.000 0.500 0.000
S1 0.000 0.000 0.500
```

---

5.
Crystalline La2Cd3In4 at its relaxed geometry, computed with PBE.

Results
Its total magnetization is 0.00 μB/atom. The density of states at the Fermi level is 20.0 states/eV per cell. The value obtained for the electronic total energy is -2.956 eV/atom. The formation energy comes out at -0.3392 eV/atom.

CIF file:
```
data_La2Cd3In4
_chemical_formula_sum 'La8 Cd12 In16'
_symmetry_space_group_name_H-M 'C m c e'
_symmetry_Int_Tables_number 64
_symmetry_space_group_name_Hall '-C 2ac 2'
_cell_length_a 6.442
_cell_length_b 17.037
_cell_length_c 8.725
_cell_angle_alpha 90.00
_cell_angle_beta 90.00
_cell_angle_gamma 90.00
loop_
_atom_site_label
_atom_site_fract_x
_atom_site_fract_y
_atom_site_fract_z
La1 0.000 0.107 0.095
Cd1 0.000 0.000 0.500
Cd2 0.250 0.231 0.750
In1 0.000 0.175 0.477
In2 0.250 0.059 0.750
```

---

6.
Crystalline MgCr2Br at its relaxed geometry, computed with PBE.

Results
The calculation puts the energy above the most stable polymorph in this dataset at 0.373 eV/atom. Its total magnetization is 0.00 μB/atom. The density of states at the Fermi level is 2.9 states/eV per cell. The value obtained for the electronic total energy is -5.073 eV/atom. As for the raw formation energy: 0.556 eV per atom.

CIF file:
```
data_MgCr2Br
_chemical_formula_sum 'Mg1 Cr2 Br1'
_symmetry_space_group_name_H-M 'P 1 2/m 1'
_symmetry_Int_Tables_number 10
_cell_length_a 3.228
_cell_length_b 4.917
_cell_length_c 4.869
_cell_angle_alpha 90.00
_cell_angle_beta 95.04
_cell_angle_gamma 90.00
loop_
_symmetry_equiv_pos_as_xyz
'x,y,z'
'-x,-y,-z'
'-x,y,-z'
'x,-y,z'
loop_
_atom_site_label
_atom_site_fract_x
_atom_site_fract_y
_atom_site_fract_z
Mg1 0.000 0.000 0.000
Cr1 0.332 0.500 0.148
Br1 0.500 0.000 0.500
```